No. 1
An optimized crystal structure of K3UMn2Te6. Source: Alexandria, functional PBE-GGA.

Values from the calculation:
As for the magnetic moment: 0.7454 μB/atom. The calculation puts the uncorrected formation energy at -0.629 eV/atom.

Cell lengths 7.4930, 7.4930, 8.5825 Å; angles 98.39, 98.39, 119.92 degrees
Last column: magnetic moment on the atom in μB.
Fractional positions:
Te1 0.7251 0.7251 0.1953  0.06
Te2 0.5950 0.9348 0.8031  0.06
Te3 0.0652 0.4050 0.1969  0.06
Te4 0.2749 0.2749 0.8047  0.06
Te5 0.9348 0.5950 0.8031  0.06
Te6 0.4050 0.0652 0.1969  0.06
Mn1 0.6669 0.3331 0.0000  4.22
Mn2 0.3331 0.6669 0.0000  4.22
K1 0.8354 0.1646 0.5000  0.01
K2 0.1646 0.8354 0.5000  0.01
K3 0.5000 0.5000 0.5000  0.01
U1 0.0000 0.0000 0.0000  -0.94


No. 2
An optimized crystal structure of ZrCd3N. Source: Alexandria, functional PBE-GGA.

Values from the calculation:
As for the magnetic moment: 0.0000 μB/atom. The calculation puts the uncorrected formation energy at 0.708 eV/atom. For the distance to the lowest polymorph of the same formula, the calculation gives 0.000 eV/atom.

Cell lengths 4.6419, 4.6419, 4.6419 Å; angles 90.00, 90.00, 90.00 degrees
Fractional positions:
Cd1 0.5000 0.0000 0.0000
Cd2 0.0000 0.0000 0.5000
Cd3 0.0000 0.5000 0.0000
Zr1 0.5000 0.5000 0.5000
N1 0.0000 0.0000 0.0000


No. 3
An optimized crystal structure of CsCaGaAs2. Source: Alexandria, functional PBE-GGA.

Values from the calculation:
As for the magnetic moment: 0.0000 μB/atom. The energy of formation is -0.571 eV per atom.

Cell lengths 6.3020, 7.5254, 8.6498 Å; angles 115.79, 90.00, 90.00 degrees
Fractional positions:
As1 0.7494 0.6078 0.2156
As2 0.2506 0.1078 0.2156
As3 0.2506 0.3922 0.7844
As4 0.7494 0.8922 0.7844
Ca1 0.5000 0.7500 0.0000
Ca2 0.5000 0.2500 0.0000
Ga1 0.0000 0.5000 0.0000
Ga2 0.0000 0.0000 0.0000
Cs1 0.7677 0.2500 0.5000
Cs2 0.2323 0.7500 0.5000


No. 4
An optimized crystal structure of La4HgSb. Source: Alexandria, functional PBE-GGA.

Values from the calculation:
As for the magnetic moment: 0.0001 μB/atom. The calculation puts the uncorrected formation energy at -0.029 eV/atom.

Cell lengths 6.4546, 6.4546, 6.4546 Å; angles 60.00, 60.00, 60.00 degrees
Fractional positions:
Sb1 0.7500 0.7500 0.7500
Hg1 0.0000 0.0000 0.0000
La1 0.3766 0.3766 0.8701
La2 0.3766 0.3766 0.3766
La3 0.3766 0.8701 0.3766
La4 0.8701 0.3766 0.3766


No. 5
An optimized crystal structure of MgHg2Te. Source: Alexandria, functional PBE-GGA.

Values from the calculation:
As for the magnetic moment: 0.0000 μB/atom. The calculation puts the uncorrected formation energy at 0.021 eV/atom. For the distance to the lowest polymorph of the same formula, the calculation gives 0.301 eV/atom.

Cell lengths 5.2925, 5.2925, 5.2925 Å; angles 60.00, 60.00, 60.00 degrees
Fractional positions:
Hg1 0.7500 0.7500 0.7500
Hg2 0.2500 0.2500 0.2500
Te1 0.5000 0.5000 0.5000
Mg1 0.0000 0.0000 0.0000


No. 6
An optimized crystal structure of Nb. Source: Alexandria, functional PBE-GGA.

Values from the calculation:
As for the magnetic moment: 0.0000 μB/atom. For the distance to the lowest polymorph of the same formula, the calculation gives 0.341 eV/atom. The energy of formation is 0.341 eV per atom.

Cell lengths 8.0717, 8.0717, 4.8084 Å; angles 90.00, 90.00, 90.00 degrees
Fractional positions:
Nb1 0.4669 0.1790 0.0000
Nb2 0.8699 0.8007 0.0000
Nb3 0.1790 0.5331 0.0000
Nb4 0.1993 0.8699 0.0000
Nb5 0.3699 0.6993 0.5000
Nb6 0.5331 0.8210 0.0000
Nb7 0.9669 0.3210 0.5000
Nb8 0.8007 0.1301 0.0000
Nb9 0.8210 0.4669 0.0000
Nb10 0.3210 0.0331 0.5000
Nb11 0.6993 0.6301 0.5000
Nb12 0.6790 0.9669 0.5000
Nb13 0.6301 0.3007 0.5000
Nb14 0.1301 0.1993 0.0000
Nb15 0.0331 0.6790 0.5000
Nb16 0.3007 0.3699 0.5000


- What is the formula in the second record?
  ZrCd3N